a.
Density functional theory data (PBE) for a geometry-optimized TaGeSbTe2 structure.

crystal system	tetragonal
V	141.16	Å³/cell
SG	P4/mmm (123)
total magnetic moment	0.11	μB/f.u.

Cell lengths 5.2169, 5.2169, 5.1867 Å; angles 90.00, 90.00, 90.00 degrees
With the nearest neighbours (Å) after each atom.
Element x y z (fractional)
Te 0.5000 0.0000 0.0000  2 Ge 2.61
Ge 0.0000 0.0000 0.0000  2 Sb 2.59, 4 Te 2.61
Sb 0.0000 0.0000 0.5000  2 Ge 2.59
Te 0.0000 0.5000 0.0000  2 Ge 2.61
Ta 0.5000 0.5000 0.5000  8 Te 3.68, 4 Sb 3.69



b.
Density functional theory data (PBE) for a geometry-optimized TaGeSbTe2 structure.

crystal system	tetragonal
V	157.20	Å³/cell
SG	P4/mmm (123)
total magnetic moment	0.90	μB/f.u.

Cell lengths 5.3725, 5.3725, 5.4462 Å; angles 90.00, 90.00, 90.00 degrees
With the nearest neighbours (Å) after each atom.
Element x y z (fractional)
Te 0.0000 0.5000 0.0000  2 Ta 2.69
Ge 0.5000 0.5000 0.5000  4 Sb 3.80, 8 Te 3.83
Sb 0.0000 0.0000 0.5000  2 Ta 2.72
Te 0.5000 0.0000 0.0000  2 Ta 2.69
Ta 0.0000 0.0000 0.0000  4 Te 2.69, 2 Sb 2.72



Which structure is most stable? b, by 675 meV per atom over the runner-up.



a.
Density functional theory data (PBE) for a geometry-optimized TbGeSb2 structure.

crystal system	trigonal
V	157.17	Å³/cell
SG	R-3m (166)
total magnetic moment	0.00	μB/f.u.

Cell lengths 4.7361, 4.7361, 8.5405 Å; angles 73.90, 73.90, 60.00 degrees
With the nearest neighbours (Å) after each atom.
Element x y z (fractional)
Ge 0.0000 0.0000 0.0000  2 Sb 2.56
Sb 0.1055 0.1055 0.6836  1 Ge 2.56
Tb 0.5000 0.5000 0.5000  6 Sb 3.11
Sb 0.8945 0.8945 0.3164  1 Ge 2.56



b.
Density functional theory data (PBE) for a geometry-optimized TbGeSb2 structure.

crystal system	tetragonal
V	100.69	Å³/cell
SG	P4/mmm (123)
total magnetic moment	0.00	μB/f.u.

Cell lengths 4.2971, 4.8407, 4.8407 Å; angles 90.00, 90.00, 90.00 degrees
With the nearest neighbours (Å) after each atom.
Element x y z (fractional)
Sb 0.0000 0.5000 0.0000  4 Ge 3.24, 4 Tb 3.24, 4 Sb 3.42
Ge 0.5000 0.0000 0.0000  8 Sb 3.24, 4 Tb 3.42
Tb 0.5000 0.5000 0.5000  8 Sb 3.24, 4 Ge 3.42
Sb 0.0000 0.0000 0.5000  4 Tb 3.24, 4 Ge 3.24, 4 Sb 3.42



Which structure is most stable? b, by 482 meV per atom over the runner-up.



a.
Density functional theory data (PBE) for a geometry-optimized Tc2Ge2Sb structure.

crystal system	tetragonal
V	167.73	Å³/cell
SG	P4/mbm (127)
total magnetic moment	0.00	μB/f.u.

Cell lengths 7.3196, 7.3196, 3.1307 Å; angles 90.00, 90.00, 90.00 degrees
With the nearest neighbours (Å) after each atom.
Element x y z (fractional)
Ge 0.8608 0.3608 0.5000  6 Tc 2.65-2.67, 1 Ge 2.88
Sb 0.0000 0.0000 0.0000  4 Tc 2.78
Tc 0.3478 0.8478 0.0000  6 Ge 2.65-2.67, 2 Sb 2.78
Ge 0.1392 0.6392 0.5000  6 Tc 2.65-2.67, 1 Ge 2.88
Sb 0.5000 0.5000 0.0000  4 Tc 2.78
Tc 0.1522 0.3478 0.0000  6 Ge 2.65-2.67, 2 Sb 2.78
Ge 0.3608 0.1392 0.5000  6 Tc 2.65-2.67, 1 Ge 2.88
Tc 0.6522 0.1522 0.0000  6 Ge 2.65-2.67, 2 Sb 2.78
Ge 0.6392 0.8608 0.5000  6 Tc 2.65-2.67, 1 Ge 2.88
Tc 0.8478 0.6522 0.0000  6 Ge 2.65-2.67, 2 Sb 2.78



b.
Density functional theory data (PBE) for a geometry-optimized Tc2Ge2Sb structure.

crystal system	tetragonal
V	85.52	Å³/cell
SG	I4/mmm (139)
total magnetic moment	0.52	μB/f.u.

Cell lengths 3.6338, 3.6338, 6.9678 Å; angles 74.89, 74.89, 90.00 degrees
With the nearest neighbours (Å) after each atom.
Element x y z (fractional)
Ge 0.2500 0.7500 0.5000  4 Tc 2.57, 4 Ge 2.57
Sb 0.0000 0.0000 0.0000  8 Tc 2.94
Tc 0.3900 0.3900 0.2200  4 Ge 2.57, 1 Tc 2.85
Ge 0.7500 0.2500 0.5000  4 Tc 2.57, 4 Ge 2.57
Tc 0.6100 0.6100 0.7800  4 Ge 2.57, 1 Tc 2.85



Which structure is most stable? b, by 8 meV per atom over the runner-up.



a.
Density functional theory data (PBE) for a geometry-optimized TcGeSb structure.

crystal system	monoclinic
V	115.42	Å³/cell
SG	C2/c (15)
total magnetic moment	0.00	μB/f.u.

Cell lengths 4.5385, 4.5379, 5.9816 Å; angles 102.36, 102.34, 97.78 degrees
With the nearest neighbours (Å) after each atom.
Element x y z (fractional)
Sb 0.4422 0.0580 0.7501  4 Tc 2.73-2.76, 3 Ge 2.83-3.04
Ge 0.9718 0.5283 0.2501  4 Tc 2.58-2.87, 1 Sb 2.83
Tc 0.0000 0.0000 0.0000  4 Ge 2.58-2.87, 4 Sb 2.73-2.76
Sb 0.5578 0.9420 0.2499  4 Tc 2.73-2.76, 3 Ge 2.83-3.04
Ge 0.0282 0.4717 0.7499  4 Tc 2.58-2.87, 1 Sb 2.83
Tc 0.5000 0.5000 0.5000  4 Ge 2.58-2.87, 4 Sb 2.73-2.76



b.
Density functional theory data (PBE) for a geometry-optimized TcGeSb structure.

crystal system	tetragonal
V	59.23	Å³/cell
SG	P4mm (99)
total magnetic moment	0.00	μB/f.u.

Cell lengths 3.1909, 3.1909, 5.8171 Å; angles 89.99, 89.99, 89.99 degrees
With the nearest neighbours (Å) after each atom.
Element x y z (fractional)
Ge 0.1668 0.1668 0.0805  4 Tc 2.64, 1 Sb 2.78
Tc 0.6666 0.6666 0.3163  4 Ge 2.64, 4 Sb 2.81
Sb 0.1665 0.1665 0.6032  2 Ge 2.78-3.04, 4 Tc 2.81



Which structure is most stable? b, by 137 meV per atom over the runner-up.



a.
Density functional theory data (PBE) for a geometry-optimized TcGeSb2Te structure.

crystal system	tetragonal
V	142.07	Å³/cell
SG	P4/mmm (123)
total magnetic moment	0.00	μB/f.u.

Cell lengths 5.0408, 5.0408, 5.5914 Å; angles 90.00, 90.00, 90.00 degrees
With the nearest neighbours (Å) after each atom.
Element x y z (fractional)
Te 0.0000 0.0000 0.5000  2 Tc 2.80
Sb 0.5000 0.0000 0.0000  2 Tc 2.52
Ge 0.5000 0.5000 0.5000  4 Te 3.56, 8 Sb 3.76
Sb 0.0000 0.5000 0.0000  2 Tc 2.52
Tc 0.0000 0.0000 0.0000  4 Sb 2.52, 2 Te 2.80



b.
Density functional theory data (PBE) for a geometry-optimized TcGeSb2Te structure.

crystal system	tetragonal
V	148.74	Å³/cell
SG	P4/mmm (123)
total magnetic moment	3.39	μB/f.u.

Cell lengths 5.2943, 5.2943, 5.3066 Å; angles 90.00, 90.00, 90.00 degrees
With the nearest neighbours (Å) after each atom.
Element x y z (fractional)
Sb 0.0000 0.5000 0.0000  2 Ge 2.65
Tc 0.5000 0.5000 0.5000  4 Te 3.74, 8 Sb 3.75
Sb 0.5000 0.0000 0.0000  2 Ge 2.65
Te 0.0000 0.0000 0.5000  2 Ge 2.65
Ge 0.0000 0.0000 0.0000  4 Sb 2.65, 2 Te 2.65



Which structure is most stable? a, by 619 meV per atom over the runner-up.



a.
Density functional theory data (PBE) for a geometry-optimized Ge2Sb2Te5 structure.

crystal system	monoclinic
V	289.08	Å³/cell
SG	Cm (8)
total magnetic moment	0.00	μB/f.u.

Cell lengths 7.5642, 7.5642, 9.8079 Å; angles 48.99, 48.99, 47.68 degrees
With the nearest neighbours (Å) after each atom.
Element x y z (fractional)
Ge 0.7209 0.7209 0.2000  2 Te 2.74-2.90
Te 0.9947 0.9947 0.9995  3 Ge 2.74-3.07
Sb 0.1086 0.1086 0.5769  6 Te 2.97-3.24
Te 0.4009 0.4009 0.3844  1 Ge 2.84, 3 Sb 2.99-3.08
Te 0.1989 0.1989 0.1961  2 Sb 2.97-3.09, 3 Ge 3.08-3.21
Sb 0.8884 0.8884 0.4304  5 Te 2.89-3.12
Ge 0.5078 0.5078 0.0058  4 Te 2.81-3.07
Te 0.5939 0.5939 0.5962  1 Ge 2.90, 3 Sb 3.06-3.12
Te 0.7860 0.7860 0.8107  1 Ge 2.81, 1 Sb 2.89



b.
Density functional theory data (PBE) for a geometry-optimized Ge2Sb2Te5 structure.

crystal system	trigonal
V	279.44	Å³/cell
SG	P-3m1 (164)
total magnetic moment	0.00	μB/f.u.

Cell lengths 4.2911, 4.2911, 17.5239 Å; angles 90.00, 90.00, 120.00 degrees
With the nearest neighbours (Å) after each atom.
Element x y z (fractional)
Te 0.3333 0.6667 0.5907  3 Sb 3.01
Te 0.3333 0.6667 0.1956  3 Ge 3.00, 3 Sb 3.20
Te 0.6667 0.3333 0.4093  3 Sb 3.01
Te 0.6667 0.3333 0.8044  3 Ge 3.00, 3 Sb 3.20
Te 0.0000 0.0000 0.0000  6 Ge 3.03
Ge 0.6667 0.3333 0.0991  6 Te 3.00-3.03
Sb 0.0000 0.0000 0.6886  6 Te 3.01-3.20
Sb 0.0000 0.0000 0.3114  6 Te 3.01-3.20
Ge 0.3333 0.6667 0.9009  6 Te 3.00-3.03



Which structure is most stable? b, by 41 meV per atom over the runner-up.